DFT (GGA-PBE) results for an optimized crystal structure of EuDyHoSc.

a b c (Å): 5.5999 5.5999 5.5999
angles (deg): 60.00 60.00 60.00
With the nearest neighbours (Å) after each atom.
Atoms (fractional coordinates):
1 Dy 0.0000 0.0000 0.0000  4 Sc 3.43, 4 Eu 3.43
2 Sc 0.7500 0.7500 0.7500  4 Dy 3.43, 4 Ho 3.43
3 Eu 0.2500 0.2500 0.2500  4 Ho 3.43, 4 Dy 3.43
4 Ho 0.5000 0.5000 0.5000  4 Sc 3.43, 4 Eu 3.43

Space group: F-43m, No. 216
D(E_F) (states/eV/f.u.): 7.622
Total DFT energy (no corrections) (eV for the cell shown): -25.07